No. 1
Material: Rb2BaUTe4
Method: DFT, PBE
State: optimized geometry

Geometry as POSCAR:
```
Rb2BaUTe4
1.0
8.468 0.000 0.000
0.000 4.774 0.000
-2.718 0.000 8.498
Rb Ba U Te
2 1 1 4
Direct
0.000 0.000 0.000
0.500 0.500 0.000
0.000 0.500 0.500
0.500 0.000 0.500
0.273 0.000 0.709
0.295 0.500 0.302
0.705 0.500 0.698
0.727 0.000 0.291
```

Output
* volume: 42.9 A^3/atom
* symmetry: No. 10
* calculated total energy: -36.669 eV/f.u.
* energy relative to the elements, uncorrected: -1119 meV/atom
* spin magnetization: 2.0 μB/cell

***

No. 2
Material: RbBa3Ti
Method: DFT, PBE
State: optimized geometry

Geometry as POSCAR:
```
RbBa3Ti
1.0
6.435 0.000 0.000
0.000 6.435 0.000
0.000 0.000 6.435
Rb Ba Ti
1 3 1
Direct
0.000 0.000 0.000
0.000 0.000 0.500
0.000 0.500 0.000
0.500 0.000 0.000
0.500 0.500 0.500
```

Output
* volume: 53.3 A^3/atom
* symmetry: No. 221
* calculated total energy: -7.715 eV/f.u.
* energy of formation from the pure elements: 1.3832 eV/atom
* energy above the lowest structure with this stoichiometry: 845 meV/atom
* spin magnetization: 0.0 μB/cell

***

No. 3
Material: Rb2BaTi
Method: DFT, PBE
State: optimized geometry

Geometry as POSCAR:
```
Rb2BaTi
1.0
0.000 4.741 4.741
4.741 0.000 4.741
4.741 4.741 0.000
Rb Ba Ti
2 1 1
Direct
0.250 0.250 0.250
0.750 0.750 0.750
0.000 0.000 0.000
0.500 0.500 0.500
```

Output
* volume: 53.3 A^3/atom
* symmetry: No. 225
* calculated total energy: -7.407 eV/f.u.
* energy of formation from the pure elements: 1.0865 eV/atom
* energy above the lowest structure with this stoichiometry: 188 meV/atom
* spin magnetization: 0.1 μB/cell

***

No. 4
Material: Rb2BaTi
Method: DFT, PBE
State: optimized geometry

Geometry as POSCAR:
```
Rb2BaTi
1.0
-2.722 2.722 15.251
2.722 -2.722 15.251
2.722 2.722 -15.251
Rb Ba Ti
4 2 2
Direct
0.107 0.625 0.982
0.375 0.357 0.482
0.643 0.125 0.018
0.875 0.893 0.518
0.250 0.750 0.500
0.500 0.500 0.000
0.000 0.000 0.000
0.750 0.250 0.500
```

Output
* volume: 56.5 A^3/atom
* symmetry: No. 122
* calculated total energy: -8.159 eV/f.u.
* energy of formation from the pure elements: 0.8986 eV/atom
* energy above the lowest structure with this stoichiometry: 0 meV/atom
* spin magnetization: 7.6 μB/cell

***

> volume of number 2 (RbBa3Ti)?

53.3 A^3/atom

***

> Number 1 is which compound?

Rb2BaUTe4

***

What did the second record say?
Material: RbBa3Ti
Method: DFT, PBE
State: optimized geometry

Geometry as POSCAR:
```
RbBa3Ti
1.0
6.435 0.000 0.000
0.000 6.435 0.000
0.000 0.000 6.435
Rb Ba Ti
1 3 1
Direct
0.000 0.000 0.000
0.000 0.000 0.500
0.000 0.500 0.000
0.500 0.000 0.000
0.500 0.500 0.500
```

Output
* volume: 53.3 A^3/atom
* symmetry: No. 221
* calculated total energy: -7.715 eV/f.u.
* energy of formation from the pure elements: 1.3832 eV/atom
* energy above the lowest structure with this stoichiometry: 845 meV/atom
* spin magnetization: 0.0 μB/cell

***

> Number 1 is which compound?

Rb2BaUTe4